Material: Er10Tl3Te3
Method: DFT, PBE-GGA
State: optimized geometry

Summary:
As for the electronic total energy: -72.27 eV per formula unit. The energy relative to the elements, uncorrected comes out at -14.58 kcal/mol of atoms. As for the total magnetization: 0.00 μB per formula unit.

Lattice parameters (Å, degrees): 6.369 8.925 8.925 120.00 90.00 90.00
Sites, in units of the cell vectors:
Te: 0.000 0.000 0.612
Te: 0.000 0.612 0.000
Te: 0.000 0.388 0.388
Er: 0.749 0.667 0.333
Er: 0.749 0.333 0.667
Er: 0.251 0.667 0.333
Er: 0.000 0.000 0.242
Er: 0.000 0.242 0.000
Er: 0.500 0.763 0.000
Er: 0.000 0.758 0.758
Er: 0.500 0.237 0.237
Er: 0.251 0.333 0.667
Er: 0.500 0.000 0.763
Tl: 0.500 0.392 0.000
Tl: 0.500 0.000 0.392
Tl: 0.500 0.608 0.608

Material: CoAgCl2
Method: DFT, PBE-GGA
State: optimized geometry

Summary:
As for the electronic total energy: -13.02 eV per formula unit. The energy relative to the elements, uncorrected comes out at 3.66 kcal/mol of atoms. Its energy above the most stable polymorph in this dataset is 0.3273 eV/atom. As for the total magnetization: 2.14 μB per formula unit.

Lattice parameters (Å, degrees): 3.195 3.195 7.030 90.00 90.00 90.00
Site moments in Bohr magnetons follow the coordinates.
Sites, in units of the cell vectors:
Cl: 0.000 0.000 0.464  0.08
Cl: 0.000 0.000 0.036  0.08
Co: 0.500 0.500 0.250  2.05
Ag: 0.500 0.500 0.750  -0.03

Material: IrC2SCl
Method: DFT, PBE-GGA
State: optimized geometry

Summary:
As for the electronic total energy: -22.25 eV per formula unit. The energy relative to the elements, uncorrected comes out at 50.91 kcal/mol of atoms. As for the total magnetization: 0.00 μB per formula unit.

Lattice parameters (Å, degrees): 3.587 4.913 3.587 90.00 90.00 90.00
Sites, in units of the cell vectors:
S: 0.000 0.000 0.000
Ir: 0.000 0.500 0.000
C: 0.500 0.000 0.000
C: 0.000 0.000 0.500
Cl: 0.500 0.500 0.500

Material: CaSc2Al2
Method: DFT, PBE-GGA
State: optimized geometry

Summary:
As for the electronic total energy: -23.36 eV per formula unit. Its energy above the most stable polymorph in this dataset is 0.0109 eV/atom. As for the total magnetization: 0.00 μB per formula unit.

Lattice parameters (Å, degrees): 8.205 8.205 3.449 90.00 90.00 90.00
Sites, in units of the cell vectors:
Ca: 0.000 0.000 0.000
Ca: 0.500 0.500 0.000
Sc: 0.825 0.325 0.500
Sc: 0.325 0.175 0.500
Sc: 0.675 0.825 0.500
Sc: 0.175 0.675 0.500
Al: 0.381 0.881 0.000
Al: 0.119 0.381 0.000
Al: 0.881 0.619 0.000
Al: 0.619 0.119 0.000

Material: Pm8Ge3SI4
Method: DFT, PBE-GGA
State: optimized geometry

Summary:
As for the electronic total energy: -80.49 eV per formula unit. The energy relative to the elements, uncorrected comes out at -26.38 kcal/mol of atoms. As for the total magnetization: 0.00 μB per formula unit.

Lattice parameters (Å, degrees): 8.541 9.106 8.540 117.96 120.00 90.00
Sites, in units of the cell vectors:
Pm: 0.227 0.694 0.967
Pm: 0.773 0.306 0.033
Pm: 0.260 0.306 0.033
Pm: 0.773 0.306 0.546
Pm: 0.267 0.302 0.534
Pm: 0.227 0.694 0.454
Pm: 0.740 0.694 0.967
Pm: 0.733 0.698 0.466
Ge: 0.000 0.500 0.500
Ge: 0.500 0.500 0.000
Ge: 0.500 0.500 0.500
I: 0.000 0.000 0.000
I: 0.500 0.000 0.500
I: 0.000 0.000 0.500
I: 0.500 0.000 0.000
S: 0.000 0.500 0.000

Material: Ca2AgPt
Method: DFT, PBE-GGA
State: optimized geometry

Summary:
As for the electronic total energy: -15.52 eV per formula unit. As for the total magnetization: 0.00 μB per formula unit.

Lattice parameters (Å, degrees): 4.508 5.888 8.002 110.66 90.00 90.00
Sites, in units of the cell vectors:
Ag: 0.750 0.666 0.786
Ag: 0.250 0.334 0.214
Ca: 0.750 0.235 0.921
Ca: 0.250 0.765 0.079
Ca: 0.250 0.793 0.563
Ca: 0.750 0.207 0.437
Pt: 0.250 0.352 0.711
Pt: 0.750 0.648 0.289

Material: ScInMo2
Method: DFT, PBE-GGA
State: optimized geometry

Summary:
As for the electronic total energy: -29.60 eV per formula unit. As for the total magnetization: 0.00 μB per formula unit.

Lattice parameters (Å, degrees): 2.847 2.847 9.291 90.00 90.00 102.38
Sites, in units of the cell vectors:
In: 0.500 0.500 0.750
Mo: 0.000 0.000 0.503
Mo: 0.000 0.000 0.997
Sc: 0.500 0.500 0.250

Material: OsS4O
Method: DFT, PBE-GGA
State: optimized geometry

Summary:
As for the electronic total energy: -33.73 eV per formula unit. The energy relative to the elements, uncorrected comes out at -3.97 kcal/mol of atoms. As for the total magnetization: 0.00 μB per formula unit.

Lattice parameters (Å, degrees): 6.416 7.554 7.106 107.27 100.51 111.02
Sites, in units of the cell vectors:
S: 0.654 0.001 0.322
S: 0.391 0.803 0.809
S: 0.013 0.812 0.129
S: 0.195 0.273 0.277
S: 0.346 0.999 0.678
S: 0.987 0.188 0.871
S: 0.804 0.727 0.723
S: 0.609 0.197 0.191
Os: 0.187 0.006 0.950
Os: 0.813 0.994 0.050
O: 0.708 0.725 0.514
O: 0.292 0.275 0.486

What did the fifth record say?
Material: Pm8Ge3SI4
Method: DFT, PBE-GGA
State: optimized geometry

Summary:
As for the electronic total energy: -80.49 eV per formula unit. The energy relative to the elements, uncorrected comes out at -26.38 kcal/mol of atoms. As for the total magnetization: 0.00 μB per formula unit.

Lattice parameters (Å, degrees): 8.541 9.106 8.540 117.96 120.00 90.00
Sites, in units of the cell vectors:
Pm: 0.227 0.694 0.967
Pm: 0.773 0.306 0.033
Pm: 0.260 0.306 0.033
Pm: 0.773 0.306 0.546
Pm: 0.267 0.302 0.534
Pm: 0.227 0.694 0.454
Pm: 0.740 0.694 0.967
Pm: 0.733 0.698 0.466
Ge: 0.000 0.500 0.500
Ge: 0.500 0.500 0.000
Ge: 0.500 0.500 0.500
I: 0.000 0.000 0.000
I: 0.500 0.000 0.500
I: 0.000 0.000 0.500
I: 0.500 0.000 0.000
S: 0.000 0.500 0.000

The highest electronic total energy belongs to which entry?
CoAgCl2